# La8Pr4Dy | the Alexandria database | GGA-PBE | relaxed
# energy of formation from the pure elements	0.3450	eV/atom
# total magnetization	0.0	μB per cell
# VASP energy	-4.5119	eV per atom
# SG	R-3m
data_La8Pr4Dy
_chemical_formula_sum 'La8 Pr4 Dy1'
_symmetry_space_group_name_H-M 'P 1'
_symmetry_Int_Tables_number 1
_symmetry_space_group_name_Hall 'P 1'
_cell_length_a 11.9545
_cell_length_b 11.9545
_cell_length_c 7.9788
_cell_angle_alpha 90.00
_cell_angle_beta 138.52
_cell_angle_gamma 120.00
loop_
_atom_site_label
_atom_site_type_symbol
_atom_site_fract_x
_atom_site_fract_y
_atom_site_fract_z
_atom_site_occupancy
La1 La 0.8414 0.6723 0.0106 1
Pr1 Pr 0.5000 0.5000 0.0000 1
Dy1 Dy 0.0000 0.5000 0.5000 1
La2 La 0.3383 0.1692 0.0106 1
Pr2 Pr 0.5000 0.0000 0.0000 1
La3 La 0.1586 0.3277 0.9894 1
La4 La 0.4768 0.2384 0.7152 1
La5 La 0.6617 0.8308 0.9894 1
La6 La 0.1586 0.8308 0.9894 1
Pr3 Pr 0.0000 0.5000 0.0000 1
Pr4 Pr 0.0000 0.0000 0.0000 1
La7 La 0.8414 0.1692 0.0106 1
La8 La 0.5232 0.7616 0.2848 1



# LaPr2Dy | the Alexandria database | GGA-PBE | relaxed
# energy of formation from the pure elements	0.0194	eV/atom
# total magnetization	0.0	μB per cell
# energy above the lowest structure with this stoichiometry	0.02	eV per formula unit
# VASP energy	-4.7527	eV per atom
# SG	Cm
data_LaPr2Dy
_chemical_formula_sum 'La1 Pr2 Dy1'
_symmetry_space_group_name_H-M 'P 1'
_symmetry_Int_Tables_number 1
_symmetry_space_group_name_Hall 'P 1'
_cell_length_a 3.6803
_cell_length_b 3.6803
_cell_length_c 12.2246
_cell_angle_alpha 81.32
_cell_angle_beta 81.32
_cell_angle_gamma 59.96
loop_
_atom_site_label
_atom_site_type_symbol
_atom_site_fract_x
_atom_site_fract_y
_atom_site_fract_z
_atom_site_occupancy
Dy1 Dy 0.6662 0.6662 0.9997 1
Pr1 Pr 0.0817 0.0817 0.7575 1
La1 La 0.4991 0.4991 0.5010 1
Pr2 Pr 0.2530 0.2530 0.2419 1



# La5PrDy6 | the Alexandria database | GGA-PBE | relaxed
# energy of formation from the pure elements	0.0232	eV/atom
# total magnetization	0.0	μB per cell
# VASP energy	-4.7293	eV per atom
# SG	C2/m
data_La5PrDy6
_chemical_formula_sum 'La5 Pr1 Dy6'
_symmetry_space_group_name_H-M 'P 1'
_symmetry_Int_Tables_number 1
_symmetry_space_group_name_Hall 'P 1'
_cell_length_a 6.2205
_cell_length_b 7.3952
_cell_length_c 9.6560
_cell_angle_alpha 112.51
_cell_angle_beta 92.14
_cell_angle_gamma 90.00
loop_
_atom_site_label
_atom_site_type_symbol
_atom_site_fract_x
_atom_site_fract_y
_atom_site_fract_z
_atom_site_occupancy
Pr1 Pr 0.0000 0.0000 0.0000 1
La1 La 0.6669 0.1663 0.3325 1
La2 La 0.3333 0.3334 0.6667 1
Dy1 Dy 0.1675 0.9166 0.3328 1
La3 La 0.3331 0.8337 0.6675 1
Dy2 Dy 0.5000 0.7504 0.0000 1
Dy3 Dy 0.5000 0.2496 0.0000 1
Dy4 Dy 0.8325 0.5838 0.6672 1
Dy5 Dy 0.1675 0.4162 0.3328 1
La4 La 0.0000 0.5000 0.0000 1
La5 La 0.6667 0.6666 0.3333 1
Dy6 Dy 0.8325 0.0834 0.6672 1



# La4Pr6Dy | the Alexandria database | GGA-PBE | relaxed
# energy of formation from the pure elements	0.2569	eV/atom
# total magnetization	0.0	μB per cell
# energy above the lowest structure with this stoichiometry	0.20	eV per formula unit
# VASP energy	-4.5603	eV per atom
# SG	I-42m
data_La4Pr6Dy
_chemical_formula_sum 'La4 Pr6 Dy1'
_symmetry_space_group_name_H-M 'P 1'
_symmetry_Int_Tables_number 1
_symmetry_space_group_name_Hall 'P 1'
_cell_length_a 9.7358
_cell_length_b 9.7358
_cell_length_c 9.7358
_cell_angle_alpha 60.90
_cell_angle_beta 138.00
_cell_angle_gamma 138.00
loop_
_atom_site_label
_atom_site_type_symbol
_atom_site_fract_x
_atom_site_fract_y
_atom_site_fract_z
_atom_site_occupancy
Dy1 Dy 0.0000 0.0000 0.0000 1
Pr1 Pr 0.5000 0.5000 0.0000 1
La1 La 0.0000 0.6339 0.0053 1
La2 La 0.6286 0.9947 0.9947 1
Pr2 Pr 0.5000 0.0000 0.5000 1
La3 La 0.3714 0.3661 0.3661 1
Pr3 Pr 0.0000 0.7808 0.4478 1
Pr4 Pr 0.6670 0.2192 0.2192 1
La4 La 0.0000 0.0053 0.6339 1
Pr5 Pr 0.0000 0.4478 0.7808 1
Pr6 Pr 0.3330 0.5522 0.5522 1



# La2Pr3Dy5 | the Alexandria database | GGA-PBE | relaxed
# energy of formation from the pure elements	0.1699	eV/atom
# total magnetization	0.0	μB per cell
# VASP energy	-4.5505	eV per atom
# SG	C2/c
data_La2Pr3Dy5
_chemical_formula_sum 'La4 Pr6 Dy10'
_symmetry_space_group_name_H-M 'P 1'
_symmetry_Int_Tables_number 1
_symmetry_space_group_name_Hall 'P 1'
_cell_length_a 9.2513
_cell_length_b 9.2558
_cell_length_c 11.3219
_cell_angle_alpha 122.80
_cell_angle_beta 122.79
_cell_angle_gamma 71.02
loop_
_atom_site_label
_atom_site_type_symbol
_atom_site_fract_x
_atom_site_fract_y
_atom_site_fract_z
_atom_site_occupancy
Dy1 Dy 0.2751 0.5251 0.0501 1
Dy2 Dy 0.4713 0.7213 0.4426 1
Pr1 Pr 0.7293 0.4812 0.2527 1
Dy3 Dy 0.9722 0.2222 0.4444 1
La1 La 0.5241 0.2758 0.2565 1
Dy4 Dy 0.1313 0.3870 0.2671 1
Dy5 Dy 0.7249 0.4749 0.9499 1
Dy6 Dy 0.0278 0.7778 0.5556 1
La2 La 0.7677 0.0193 0.7435 1
Dy7 Dy 0.5287 0.2787 0.5574 1
La3 La 0.2323 0.9807 0.2565 1
Dy8 Dy 0.3642 0.1199 0.7329 1
Dy9 Dy 0.8687 0.6130 0.7329 1
Dy10 Dy 0.6358 0.8801 0.2671 1
Pr2 Pr 0.2707 0.5188 0.7473 1
Pr3 Pr 0.0234 0.7715 0.2527 1
Pr4 Pr 0.7721 0.0221 0.0442 1
La4 La 0.4759 0.7242 0.7435 1
Pr5 Pr 0.2279 0.9779 0.9558 1
Pr6 Pr 0.9766 0.2285 0.7473 1



# LaPr12Dy3 | the Alexandria database | GGA-PBE | relaxed
# energy of formation from the pure elements	0.0132	eV/atom
# total magnetization	0.0	μB per cell
# VASP energy	-4.7422	eV per atom
# SG	P4/mmm
data_LaPr12Dy3
_chemical_formula_sum 'La1 Pr12 Dy3'
_symmetry_space_group_name_H-M 'P 1'
_symmetry_Int_Tables_number 1
_symmetry_space_group_name_Hall 'P 1'
_cell_length_a 5.2125
_cell_length_b 5.2125
_cell_length_c 20.8333
_cell_angle_alpha 90.00
_cell_angle_beta 90.00
_cell_angle_gamma 90.00
loop_
_atom_site_label
_atom_site_type_symbol
_atom_site_fract_x
_atom_site_fract_y
_atom_site_fract_z
_atom_site_occupancy
Pr1 Pr 0.5000 0.5000 0.0000 1
Pr2 Pr 0.0000 0.5000 0.6240 1
Pr3 Pr 0.0000 0.5000 0.3760 1
Pr4 Pr 0.5000 0.5000 0.5000 1
Dy1 Dy 0.0000 0.0000 0.5000 1
Pr5 Pr 0.0000 0.5000 0.8721 1
Pr6 Pr 0.5000 0.0000 0.6240 1
Pr7 Pr 0.5000 0.5000 0.7470 1
Pr8 Pr 0.5000 0.0000 0.1279 1
Dy2 Dy 0.0000 0.0000 0.2519 1
Pr9 Pr 0.5000 0.0000 0.8721 1
Pr10 Pr 0.5000 0.0000 0.3760 1
La1 La 0.0000 0.0000 0.0000 1
Pr11 Pr 0.5000 0.5000 0.2530 1
Dy3 Dy 0.0000 0.0000 0.7481 1
Pr12 Pr 0.0000 0.5000 0.1279 1



# La2Pr2Dy15 | the Alexandria database | GGA-PBE | relaxed
# energy of formation from the pure elements	0.2671	eV/atom
# total magnetization	0.0	μB per cell
# VASP energy	-4.3879	eV per atom
# SG	R-3m
data_La2Pr2Dy15
_chemical_formula_sum 'La2 Pr2 Dy15'
_symmetry_space_group_name_H-M 'P 1'
_symmetry_Int_Tables_number 1
_symmetry_space_group_name_Hall 'P 1'
_cell_length_a 8.7620
_cell_length_b 8.7620
_cell_length_c 8.7620
_cell_angle_alpha 80.88
_cell_angle_beta 80.88
_cell_angle_gamma 80.88
loop_
_atom_site_label
_atom_site_type_symbol
_atom_site_fract_x
_atom_site_fract_y
_atom_site_fract_z
_atom_site_occupancy
Dy1 Dy 0.0000 0.3035 0.6965 1
Dy2 Dy 0.5000 0.0000 0.0000 1
Dy3 Dy 0.6965 0.3035 0.0000 1
Dy4 Dy 0.1550 0.6341 0.6341 1
Dy5 Dy 0.0000 0.0000 0.5000 1
Dy6 Dy 0.8450 0.3659 0.3659 1
Dy7 Dy 0.0000 0.5000 0.0000 1
Dy8 Dy 0.6341 0.6341 0.1550 1
Pr1 Pr 0.3371 0.3371 0.3371 1
Dy9 Dy 0.6341 0.1550 0.6341 1
Dy10 Dy 0.3659 0.8450 0.3659 1
Dy11 Dy 0.0000 0.6965 0.3035 1
Dy12 Dy 0.3659 0.3659 0.8450 1
La1 La 0.1212 0.1212 0.1212 1
Dy13 Dy 0.3035 0.0000 0.6965 1
Dy14 Dy 0.3035 0.6965 0.0000 1
La2 La 0.8788 0.8788 0.8788 1
Pr2 Pr 0.6629 0.6629 0.6629 1
Dy15 Dy 0.6965 0.0000 0.3035 1



# La4PrDy7 | the Alexandria database | GGA-PBE | relaxed
# energy of formation from the pure elements	0.2392	eV/atom
# total magnetization	0.0	μB per cell
# energy above the lowest structure with this stoichiometry	2.68	eV per formula unit
# VASP energy	-4.4862	eV per atom
# SG	C2/m
data_La4PrDy7
_chemical_formula_sum 'La4 Pr1 Dy7'
_symmetry_space_group_name_H-M 'P 1'
_symmetry_Int_Tables_number 1
_symmetry_space_group_name_Hall 'P 1'
_cell_length_a 5.9962
_cell_length_b 11.8863
_cell_length_c 6.8054
_cell_angle_alpha 83.52
_cell_angle_beta 63.86
_cell_angle_gamma 75.39
loop_
_atom_site_label
_atom_site_type_symbol
_atom_site_fract_x
_atom_site_fract_y
_atom_site_fract_z
_atom_site_occupancy
La1 La 0.7787 0.6651 0.7774 1
Pr1 Pr 0.0000 0.0000 0.0000 1
La2 La 0.2213 0.3349 0.2226 1
Dy1 Dy 0.2108 0.0763 0.5020 1
La3 La 0.6340 0.2231 0.5090 1
Dy2 Dy 0.9299 0.3139 0.8263 1
Dy3 Dy 0.5000 0.0000 0.0000 1
Dy4 Dy 0.0701 0.6861 0.1737 1
La4 La 0.3660 0.7769 0.4910 1
Dy5 Dy 0.3670 0.4951 0.7708 1
Dy6 Dy 0.6330 0.5049 0.2292 1
Dy7 Dy 0.7892 0.9237 0.4980 1



# La8PrDy2 | the Alexandria database | GGA-PBE | relaxed
# energy of formation from the pure elements	0.1320	eV/atom
# total magnetization	0.0	μB per cell
# energy above the lowest structure with this stoichiometry	0.00	eV per formula unit
# VASP energy	-4.7229	eV per atom
# SG	C2/m
data_La8PrDy2
_chemical_formula_sum 'La8 Pr1 Dy2'
_symmetry_space_group_name_H-M 'P 1'
_symmetry_Int_Tables_number 1
_symmetry_space_group_name_Hall 'P 1'
_cell_length_a 5.5962
_cell_length_b 8.6839
_cell_length_c 8.6839
_cell_angle_alpha 105.53
_cell_angle_beta 90.08
_cell_angle_gamma 90.08
loop_
_atom_site_label
_atom_site_type_symbol
_atom_site_fract_x
_atom_site_fract_y
_atom_site_fract_z
_atom_site_occupancy
La1 La 0.9993 0.9692 0.6990 1
La2 La 0.4999 0.6663 0.6663 1
La3 La 0.0007 0.3010 0.0308 1
La4 La 0.0007 0.0308 0.3010 1
Dy1 Dy 0.0000 0.6176 0.3824 1
Dy2 Dy 0.0000 0.3824 0.6176 1
Pr1 Pr 0.5000 0.0000 0.0000 1
La5 La 0.5000 0.2575 0.7425 1
La6 La 0.9993 0.6990 0.9692 1
La7 La 0.5000 0.7425 0.2575 1
La8 La 0.5001 0.3337 0.3337 1



# LaPr2Dy | the Alexandria database | GGA-PBE | relaxed
# energy of formation from the pure elements	0.0172	eV/atom
# total magnetization	0.0	μB per cell
# energy above the lowest structure with this stoichiometry	0.01	eV per formula unit
# VASP energy	-4.7549	eV per atom
# SG	R-3m
data_LaPr2Dy
_chemical_formula_sum 'La1 Pr2 Dy1'
_symmetry_space_group_name_H-M 'P 1'
_symmetry_Int_Tables_number 1
_symmetry_space_group_name_Hall 'P 1'
_cell_length_a 3.6822
_cell_length_b 3.6822
_cell_length_c 12.1956
_cell_angle_alpha 81.32
_cell_angle_beta 81.32
_cell_angle_gamma 60.00
loop_
_atom_site_label
_atom_site_type_symbol
_atom_site_fract_x
_atom_site_fract_y
_atom_site_fract_z
_atom_site_occupancy
Pr1 Pr 0.7521 0.7521 0.7436 1
Dy1 Dy 0.5000 0.5000 0.5000 1
Pr2 Pr 0.2479 0.2479 0.2564 1
La1 La 0.0000 0.0000 0.0000 1



# La2Pr7Dy2 | the Alexandria database | GGA-PBE | relaxed
# energy of formation from the pure elements	0.1245	eV/atom
# total magnetization	0.0	μB per cell
# energy above the lowest structure with this stoichiometry	0.00	eV per formula unit
# VASP energy	-4.6496	eV per atom
# SG	C2/m
data_La2Pr7Dy2
_chemical_formula_sum 'La2 Pr7 Dy2'
_symmetry_space_group_name_H-M 'P 1'
_symmetry_Int_Tables_number 1
_symmetry_space_group_name_Hall 'P 1'
_cell_length_a 6.2312
_cell_length_b 8.2859
_cell_length_c 8.2859
_cell_angle_alpha 90.16
_cell_angle_beta 74.48
_cell_angle_gamma 74.48
loop_
_atom_site_label
_atom_site_type_symbol
_atom_site_fract_x
_atom_site_fract_y
_atom_site_fract_z
_atom_site_occupancy
Pr1 Pr 0.1786 0.0507 0.5869 1
Pr2 Pr 0.8214 0.4131 0.9493 1
Pr3 Pr 0.5923 0.7735 0.7735 1
Pr4 Pr 0.1786 0.5869 0.0507 1
Pr5 Pr 0.0000 0.0000 0.0000 1
Pr6 Pr 0.8214 0.9493 0.4131 1
Dy1 Dy 0.5000 0.2166 0.7834 1
La1 La 0.1964 0.5761 0.5761 1
Dy2 Dy 0.5000 0.7834 0.2166 1
La2 La 0.8036 0.4239 0.4239 1
Pr7 Pr 0.4077 0.2265 0.2265 1



# La3Pr4Dy | the Alexandria database | GGA-PBE | relaxed
# energy of formation from the pure elements	0.1845	eV/atom
# total magnetization	0.0	μB per cell
# energy above the lowest structure with this stoichiometry	1.40	eV per formula unit
# VASP energy	-4.6283	eV per atom
# SG	C2/m
data_La3Pr4Dy
_chemical_formula_sum 'La3 Pr4 Dy1'
_symmetry_space_group_name_H-M 'P 1'
_symmetry_Int_Tables_number 1
_symmetry_space_group_name_Hall 'P 1'
_cell_length_a 3.5505
_cell_length_b 6.3395
_cell_length_c 13.1237
_cell_angle_alpha 94.95
_cell_angle_beta 97.77
_cell_angle_gamma 90.00
loop_
_atom_site_label
_atom_site_type_symbol
_atom_site_fract_x
_atom_site_fract_y
_atom_site_fract_z
_atom_site_occupancy
La1 La 0.0000 0.5000 0.0000 1
La2 La 0.1445 0.7450 0.2889 1
Dy1 Dy 0.5000 0.0000 0.0000 1
Pr1 Pr 0.1054 0.2329 0.2109 1
Pr2 Pr 0.2785 0.7588 0.5569 1
Pr3 Pr 0.7215 0.2412 0.4431 1
Pr4 Pr 0.8946 0.7671 0.7891 1
La3 La 0.8555 0.2550 0.7111 1